Record 1
Nd3Ge2Au4: relaxed, GGA-PBE.

a b c (Å): 11.0844 4.5519 8.9055
angles (deg): 90.00 111.28 90.00
Last column: nearest neighbours and their distance in Å.
Space group C2/m (No. 12)
Symmetry-distinct sites (fractional):
1 Nd 0.0000 0.0000 0.0000 [2 per cell]  8 Au 3.19-3.41, 4 Ge 3.26
2 Nd 0.1634 0.5000 0.6678 [4 per cell]  4 Ge 3.22-3.30, 8 Au 3.24-3.33
3 Ge 0.1093 0.5000 0.2793 [4 per cell]  3 Au 2.60
4 Au 0.0624 0.0000 0.3892 [4 per cell]  2 Ge 2.60, 1 Au 2.79
5 Au 0.2137 0.5000 0.0603 [4 per cell]  1 Ge 2.60, 2 Au 2.76

Computed properties:
Its calculated density is 10.83 g/cm3. Its formation energy is -795 meV per atom. The volume is 23.3 Å³/atom. The value obtained for the total DFT energy (no corrections) is -4.867 eV per atom.


Record 2
Ac2La5Pm6: relaxed, GGA-PBE.

a b c (Å): 12.2492 21.2261 3.7316
angles (deg): 90.00 90.00 90.00
Last column: nearest neighbours and their distance in Å.
Space group Pbam (No. 55)
Symmetry-distinct sites (fractional):
1 Ac 0.1719 0.2211 0.0000 [4 per cell]  3 Pm 3.62-3.81, 6 La 3.68-4.03, 2 Ac 3.73
2 La 0.0000 0.5000 0.5000 [2 per cell]  6 Pm 3.46-3.58, 4 La 3.73-3.81
3 La 0.0866 0.7842 0.5000 [4 per cell]  5 Pm 3.42-3.62, 4 Ac 3.68-3.74, 2 La 3.73
4 La 0.2035 0.0541 0.5000 [4 per cell]  3 La 3.73-3.81, 7 Pm 3.74-3.99, 2 Ac 4.03
5 Pm 0.0603 0.9260 0.0000 [4 per cell]  5 Pm 3.47-3.77, 6 La 3.56-3.76
6 Pm 0.0701 0.6382 0.0000 [4 per cell]  6 La 3.58-3.79, 1 Ac 3.62, 4 Pm 3.66-3.73
7 Pm 0.1857 0.3774 0.5000 [4 per cell]  2 La 3.42-3.46, 6 Pm 3.66-3.77, 2 Ac 3.81

Computed properties:
Its calculated density is 6.91 g/cm3. Its formation energy is 88 meV per atom. The volume is 37.3 Å³/atom. The value obtained for the total DFT energy (no corrections) is -4.632 eV per atom.


Record 3
Pm2NdZr: relaxed, GGA-PBE.

a b c (Å): 3.5201 3.5201 34.6923
angles (deg): 90.00 90.00 120.00
Last column: nearest neighbours and their distance in Å.
Space group R3m (No. 160, hexagonal axes)
Symmetry-distinct sites (fractional):
1 Pm 0.0000 0.0000 0.0000 [3 per cell]  3 Zr 3.35, 6 Pm 3.52, 3 Nd 3.69
2 Pm 0.0000 0.0000 0.1793 [3 per cell]  3 Zr 3.36, 6 Pm 3.52, 3 Nd 3.74
3 Nd 0.0000 0.0000 0.4221 [3 per cell]  6 Nd 3.52, 6 Pm 3.69-3.74
4 Zr 0.0000 0.0000 0.5898 [3 per cell]  6 Pm 3.35-3.36, 6 Zr 3.52

Computed properties:
Its calculated density is 7.03 g/cm3. Its formation energy is 116 meV per atom. The volume is 31.0 Å³/atom. The value obtained for the total DFT energy (no corrections) is -5.588 eV per atom. As for the energy above the most stable polymorph in this dataset: 0.000 kcal/mol of atoms.


Record 4
BaSr5Ca3: relaxed, GGA-PBE.

a b c (Å): 23.4867 7.3584 13.3517
angles (deg): 90.00 124.03 90.00
Last column: nearest neighbours and their distance in Å.
Space group C2/c (No. 15)
Symmetry-distinct sites (fractional):
1 Ba 0.0000 0.0795 0.2500 [4 per cell]  2 Ca 3.39, 2 Sr 3.62-3.74
2 Sr 0.0000 0.4290 0.7500 [4 per cell]  2 Ba 3.62-3.74
3 Sr 0.1400 0.3264 0.1491 [8 per cell]  2 Ca 3.64-4.00
4 Sr 0.1764 0.1823 0.8282 [8 per cell]  4 Ca 3.98-4.41, 5 Sr 4.03-4.26, 1 Ba 4.14
5 Ca 0.0000 0.0000 0.0000 [4 per cell]  2 Ba 3.39, 2 Sr 3.64
6 Ca 0.1764 0.2264 0.5233 [8 per cell]  1 Ba 3.84, 1 Ca 3.86, 4 Sr 3.98-4.09

Computed properties:
Its calculated density is 2.42 g/cm3. Its formation energy is 205 meV per atom. The volume is 53.1 Å³/atom. The value obtained for the total DFT energy (no corrections) is -1.611 eV per atom. As for the energy above the most stable polymorph in this dataset: 0.000 kcal/mol of atoms.


Record 5
SmErThTl: relaxed, GGA-PBE.

a b c (Å): 7.7720 7.7720 7.7720
angles (deg): 90.00 90.00 90.00
Last column: nearest neighbours and their distance in Å.
Space group F-43m (No. 216)
Symmetry-distinct sites (fractional):
1 Sm 0.0000 0.0000 0.0000 [4 per cell]  4 Tl 3.37, 4 Th 3.37
2 Er 0.0000 0.0000 0.5000 [4 per cell]  4 Tl 3.37, 4 Th 3.37
3 Th 0.2500 0.2500 0.7500 [4 per cell]  4 Sm 3.37, 4 Er 3.37
4 Tl 0.2500 0.2500 0.2500 [4 per cell]  4 Er 3.37, 4 Sm 3.37

Computed properties:
Its calculated density is 10.67 g/cm3. Its formation energy is 63 meV per atom. The volume is 29.3 Å³/atom. The value obtained for the total DFT energy (no corrections) is -4.704 eV per atom.


Record 6
TeAuSCl2: relaxed, GGA-PBE.

a b c (Å): 4.8628 4.8628 5.2007
angles (deg): 90.00 90.00 90.00
Last column: nearest neighbours and their distance in Å.
Space group P4/mmm (No. 123)
Symmetry-distinct sites (fractional):
1 Te 0.0000 0.0000 0.0000 [1 per cell]  4 S 3.44, 8 Cl 3.56
2 Au 0.5000 0.5000 0.5000 [1 per cell]  4 Cl 2.43, 2 S 2.60
3 S 0.5000 0.5000 0.0000 [1 per cell]  2 Au 2.60
4 Cl 0.0000 0.5000 0.5000 [2 per cell]  2 Au 2.43

Computed properties:
Its calculated density is 5.77 g/cm3. The volume is 24.6 Å³/atom. For the uncorrected formation energy, the calculation gives 0.35 eV per atom. The value obtained for the total DFT energy (no corrections) is -2.494 eV per atom. As for the energy above the most stable polymorph in this dataset: 0.000 kcal/mol of atoms.


Record 7
YTi2Pt: relaxed, GGA-PBE.

a b c (Å): 7.7074 7.7074 5.7755
angles (deg): 90.00 90.00 90.00
Last column: nearest neighbours and their distance in Å.
Space group I-42d (No. 122)
Symmetry-distinct sites (fractional):
1 Y 0.0000 0.0000 0.0000 [4 per cell]  2 Pt 2.89, 4 Ti 3.15
2 Ti 0.1898 0.2500 0.6250 [8 per cell]  2 Pt 2.52
3 Pt 0.0000 0.0000 0.5000 [4 per cell]  4 Ti 2.52

Computed properties:
Its calculated density is 7.35 g/cm3. Its formation energy is -225 meV per atom. The volume is 21.4 Å³/atom. The value obtained for the total DFT energy (no corrections) is -7.299 eV per atom. As for the energy above the most stable polymorph in this dataset: 6.795 kcal/mol of atoms.


Record 8
PrTl2In: relaxed, GGA-PBE.

a b c (Å): 4.8270 4.8270 4.8043
angles (deg): 90.00 90.00 90.00
Last column: nearest neighbours and their distance in Å.
Space group P4/mmm (No. 123)
Symmetry-distinct sites (fractional):
1 Pr 0.0000 0.0000 0.0000 [1 per cell]  8 Tl 3.41, 4 In 3.41
2 Tl 0.0000 0.5000 0.5000 [2 per cell]  4 In 3.41, 4 Pr 3.41, 4 Tl 3.41
3 In 0.5000 0.5000 0.0000 [1 per cell]  8 Tl 3.41, 4 Pr 3.41

Computed properties:
Its calculated density is 9.86 g/cm3. Its formation energy is -368 meV per atom. The volume is 28.0 Å³/atom. The value obtained for the total DFT energy (no corrections) is -3.430 eV per atom.


Record 9
KTlGe2O6: relaxed, GGA-PBE.

a b c (Å): 10.6836 11.1399 5.4107
angles (deg): 90.00 101.92 90.00
Last column: nearest neighbours and their distance in Å.
Space group C2/c (No. 15)
Symmetry-distinct sites (fractional):
1 K 0.0000 0.0911 0.2500 [4 per cell]  6 O 2.62-2.71
2 Tl 0.0000 0.2791 0.7500 [4 per cell]  2 O 2.08
3 Ge 0.2070 0.4167 0.2336 [8 per cell]  4 O 1.73-1.82
4 O 0.1081 0.2938 0.1144 [8 per cell]  1 Ge 1.77
5 O 0.1307 0.1142 0.7138 [8 per cell]  1 Ge 1.73
6 O 0.1616 0.4537 0.5314 [8 per cell]  2 Ge 1.82

Computed properties:
Its calculated density is 5.11 g/cm3. The volume is 15.8 Å³/atom. For the uncorrected formation energy, the calculation gives -1.40 eV per atom. The value obtained for the total DFT energy (no corrections) is -5.647 eV per atom.


Record 10
CaYAs2Se: relaxed, GGA-PBE.

a b c (Å): 5.3859 5.3859 5.4330
angles (deg): 90.00 90.00 90.00
Last column: nearest neighbours and their distance in Å.
Space group P4/mmm (No. 123)
Symmetry-distinct sites (fractional):
1 Ca 0.0000 0.0000 0.0000 [1 per cell]  4 Se 3.81, 8 As 3.83
2 Y 0.5000 0.5000 0.5000 [1 per cell]  4 As 2.69, 2 Se 2.72
3 As 0.0000 0.5000 0.5000 [2 per cell]  2 Y 2.69
4 Se 0.5000 0.5000 0.0000 [1 per cell]  2 Y 2.72

Computed properties:
Its calculated density is 3.77 g/cm3. The volume is 31.5 Å³/atom. For the uncorrected formation energy, the calculation gives -0.51 eV per atom. The value obtained for the total DFT energy (no corrections) is -4.755 eV per atom. As for the energy above the most stable polymorph in this dataset: 0.000 kcal/mol of atoms.


Record 11
BaTa3Cl: relaxed, GGA-PBE.

a b c (Å): 5.1949 5.1949 5.1949
angles (deg): 90.00 90.00 90.00
Last column: nearest neighbours and their distance in Å.
Space group Pm-3m (No. 221)
Symmetry-distinct sites (fractional):
1 Ba 0.0000 0.0000 0.0000 [1 per cell]  6 Ta 2.60
2 Ta 0.0000 0.0000 0.5000 [3 per cell]  2 Ba 2.60
3 Cl 0.5000 0.5000 0.5000 [1 per cell]  12 Ta 3.67

Computed properties:
Its calculated density is 8.48 g/cm3. The volume is 28.0 Å³/atom. For the uncorrected formation energy, the calculation gives 3.12 eV per atom. The value obtained for the total DFT energy (no corrections) is -4.743 eV per atom. As for the energy above the most stable polymorph in this dataset: 44.071 kcal/mol of atoms.


Record 12
HoLuThZr: relaxed, GGA-PBE.

a b c (Å): 7.7009 7.7009 7.7009
angles (deg): 90.00 90.00 90.00
Last column: nearest neighbours and their distance in Å.
Space group F-43m (No. 216)
Symmetry-distinct sites (fractional):
1 Ho 0.0000 0.0000 0.0000 [4 per cell]  4 Lu 3.33, 4 Zr 3.33
2 Lu 0.2500 0.2500 0.2500 [4 per cell]  4 Th 3.33, 4 Ho 3.33
3 Th 0.0000 0.0000 0.5000 [4 per cell]  4 Zr 3.33, 4 Lu 3.33
4 Zr 0.2500 0.2500 0.7500 [4 per cell]  4 Th 3.33, 4 Ho 3.33

Computed properties:
Its calculated density is 9.64 g/cm3. Its formation energy is 148 meV per atom. The volume is 28.5 Å³/atom. The value obtained for the total DFT energy (no corrections) is -6.118 eV per atom.


Record 13
La2ScRu: relaxed, GGA-PBE.

a b c (Å): 4.3579 4.3579 10.4223
angles (deg): 90.00 90.00 90.00
Last column: nearest neighbours and their distance in Å.
Space group I-4m2 (No. 119)
Symmetry-distinct sites (fractional):
1 La 0.0000 0.0000 0.0000 [2 per cell]  4 Sc 3.08, 4 La 3.40, 4 Ru 3.40
2 La 0.0000 0.5000 0.2500 [2 per cell]  4 Ru 3.08, 4 La 3.40, 4 Sc 3.40
3 Sc 0.0000 0.0000 0.5000 [2 per cell]  8 La 3.08-3.40, 4 Ru 3.40
4 Ru 0.0000 0.5000 0.7500 [2 per cell]  8 La 3.08-3.40, 4 Sc 3.40

Computed properties:
Its calculated density is 7.11 g/cm3. Its formation energy is 132 meV per atom. The volume is 24.7 Å³/atom. The value obtained for the total DFT energy (no corrections) is -6.234 eV per atom. As for the energy above the most stable polymorph in this dataset: 6.195 kcal/mol of atoms.


Record 14
Cu2PF: relaxed, GGA-PBE.

a b c (Å): 5.4144 5.4144 8.5230
angles (deg): 90.00 90.00 90.00
Last column: nearest neighbours and their distance in Å.
Space group I-42d (No. 122)
Symmetry-distinct sites (fractional):
1 Cu 0.2441 0.2500 0.1250 [8 per cell]  2 F 2.17, 2 P 2.21
2 P 0.0000 0.0000 0.5000 [4 per cell]  4 Cu 2.21
3 F 0.0000 0.0000 0.0000 [4 per cell]  4 Cu 2.17

Computed properties:
Its calculated density is 4.71 g/cm3. The volume is 15.6 Å³/atom. For the uncorrected formation energy, the calculation gives -0.39 eV per atom. The value obtained for the total DFT energy (no corrections) is -4.261 eV per atom. As for the energy above the most stable polymorph in this dataset: 0.000 kcal/mol of atoms.


Record 15
B2C: relaxed, GGA-PBE.

a b c (Å): 4.8186 2.6873 6.7171
angles (deg): 90.00 95.51 90.00
Last column: nearest neighbours and their distance in Å.
Space group P2/m (No. 10)
Symmetry-distinct sites (fractional):
1 B 0.0244 0.0000 0.1269 [2 per cell]  4 B 1.70-1.90
2 B 0.1988 0.5000 0.7691 [2 per cell]  2 C 1.57
3 B 0.3144 0.0000 0.4837 [2 per cell]  2 C 1.61, 1 B 1.78
4 B 0.3925 0.0000 0.2067 [2 per cell]  2 C 1.60
5 C 0.1503 0.5000 0.5345 [2 per cell]  1 C 1.48, 3 B 1.57-1.61
6 C 0.4967 0.5000 0.8881 [2 per cell]  1 C 1.50, 3 B 1.57-1.60

Computed properties:
Its calculated density is 2.58 g/cm3. Its formation energy is 457 meV per atom. The volume is 7.2 Å³/atom. The value obtained for the total DFT energy (no corrections) is -7.069 eV per atom. As for the energy above the most stable polymorph in this dataset: 6.266 kcal/mol of atoms.


Record 16
Ni2PtBr: relaxed, GGA-PBE.

a b c (Å): 3.0936 3.0936 6.4624
angles (deg): 90.00 90.00 90.00
Last column: nearest neighbours and their distance in Å.
Space group P4/mmm (No. 123)
Symmetry-distinct sites (fractional):
1 Ni 0.0000 0.0000 0.2168 [2 per cell]  4 Pt 2.60, 1 Ni 2.80, 4 Br 2.85
2 Pt 0.5000 0.5000 0.0000 [1 per cell]  8 Ni 2.60
3 Br 0.5000 0.5000 0.5000 [1 per cell]  8 Ni 2.85, 4 Br 3.09

Computed properties:
Its calculated density is 10.54 g/cm3. The volume is 15.5 Å³/atom. For the uncorrected formation energy, the calculation gives 0.36 eV per atom. The value obtained for the total DFT energy (no corrections) is -4.458 eV per atom. As for the energy above the most stable polymorph in this dataset: 3.514 kcal/mol of atoms.


Record 17
ZnSe3O: relaxed, GGA-PBE.

a b c (Å): 4.8406 4.8406 4.8406
angles (deg): 90.00 90.00 90.00
Last column: nearest neighbours and their distance in Å.
Space group Pm-3m (No. 221)
Symmetry-distinct sites (fractional):
1 Zn 0.0000 0.0000 0.0000 [1 per cell]  6 Se 2.42
2 Se 0.0000 0.0000 0.5000 [3 per cell]  2 Zn 2.42
3 O 0.5000 0.5000 0.5000 [1 per cell]  12 Se 3.42

Computed properties:
Its calculated density is 4.66 g/cm3. The volume is 22.7 Å³/atom. For the uncorrected formation energy, the calculation gives 1.06 eV per atom. The value obtained for the total DFT energy (no corrections) is -2.277 eV per atom. As for the energy above the most stable polymorph in this dataset: 13.935 kcal/mol of atoms.


Record 18
PmDy2Tm9: relaxed, GGA-PBE.

a b c (Å): 11.0853 11.0853 3.4821
angles (deg): 90.00 90.00 120.00
Last column: nearest neighbours and their distance in Å.
Space group P6/mmm (No. 191)
Symmetry-distinct sites (fractional):
1 Pm 0.0000 0.0000 0.0000 [1 per cell]  2 Pm 3.48, 12 Tm 3.84
2 Dy 0.3333 0.6667 0.0000 [2 per cell]  9 Tm 3.20-3.45, 2 Dy 3.48
3 Tm 0.0000 0.5000 0.0000 [3 per cell]  2 Dy 3.20, 10 Tm 3.48-3.55
4 Tm 0.1780 0.3561 0.5000 [6 per cell]  8 Tm 3.42-3.55, 2 Dy 3.45

Computed properties:
Its calculated density is 8.92 g/cm3. Its formation energy is 47 meV per atom. The volume is 30.9 Å³/atom. The value obtained for the total DFT energy (no corrections) is -4.469 eV per atom. As for the energy above the most stable polymorph in this dataset: 0.484 kcal/mol of atoms.


Record 19
SrAlRh3: relaxed, GGA-PBE.

a b c (Å): 4.9171 4.9171 4.9171
angles (deg): 90.00 90.00 90.00
Last column: nearest neighbours and their distance in Å.
Space group Pm-3m (No. 221)
Symmetry-distinct sites (fractional):
1 Sr 0.0000 0.0000 0.0000 [1 per cell]  6 Rh 2.46
2 Al 0.5000 0.5000 0.5000 [1 per cell]  12 Rh 3.48
3 Rh 0.0000 0.0000 0.5000 [3 per cell]  2 Sr 2.46

Computed properties:
Its calculated density is 5.91 g/cm3. Its formation energy is 1672 meV per atom. The volume is 23.8 Å³/atom. The value obtained for the total DFT energy (no corrections) is -3.824 eV per atom. As for the energy above the most stable polymorph in this dataset: 40.093 kcal/mol of atoms.


Record 20
ScSbTe2Rh: relaxed, GGA-PBE.

a b c (Å): 5.3535 5.3535 4.9204
angles (deg): 90.00 90.00 90.00
Last column: nearest neighbours and their distance in Å.
Space group P4/mmm (No. 123)
Symmetry-distinct sites (fractional):
1 Sc 0.0000 0.0000 0.0000 [1 per cell]  8 Te 3.64, 4 Sb 3.79
2 Sb 0.5000 0.5000 0.0000 [1 per cell]  2 Rh 2.46
3 Te 0.0000 0.5000 0.5000 [2 per cell]  2 Rh 2.68
4 Rh 0.5000 0.5000 0.5000 [1 per cell]  2 Sb 2.46, 4 Te 2.68

Computed properties:
Its calculated density is 6.18 g/cm3. The volume is 28.2 Å³/atom. For the uncorrected formation energy, the calculation gives 0.05 eV per atom. The value obtained for the total DFT energy (no corrections) is -4.769 eV per atom. As for the energy above the most stable polymorph in this dataset: 0.000 kcal/mol of atoms.